VASP calculation (GGA-PBE) on crystalline Li2HfTlNi at its relaxed geometry.

Values from the calculation:
Calculated density (kg/m³): 7614
DOS(E_F) (states/eV per atom): 0.82
Size of the total moment (μB per atom): 0.000
ΔH_f (0 K) (eV per formula unit): 3.627

Structure (extended XYZ):
```
5
Lattice="4.541 0.000 0.000 0.000 4.541 0.000 0.000 0.000 4.817" Properties=species:S:1:pos:R:3 pbc="T T T"
Li 0.000 2.271 0.000
Li 2.271 0.000 0.000
Hf 0.000 0.000 2.408
Tl 2.271 2.271 0.000
Ni 2.271 2.271 2.408
```

VASP calculation (GGA-PBE) on crystalline LiHf2TlNi at its relaxed geometry.

Values from the calculation:
Calculated density (kg/m³): 8271
DOS(E_F) (states/eV per atom): 0.98
Size of the total moment (μB per atom): 0.000
ΔH_f (0 K) (eV per formula unit): 6.424

Structure (extended XYZ):
```
5
Lattice="5.306 0.000 0.000 0.000 5.306 0.000 0.000 0.000 4.471" Properties=species:S:1:pos:R:3 pbc="T T T"
Li 0.000 0.000 0.000
Hf 0.000 2.653 2.236
Hf 2.653 0.000 2.236
Tl 0.000 0.000 2.236
Ni 2.653 2.653 0.000
```